Computed, not measured: crystalline ZnCd3Au at its relaxed geometry at the GGA-PBE level of DFT.

D(E_F) ... 7.06 states/eV/cell
E above lowest polymorph ... 21 meV/atom
Total moment ... 0.000 μB per atom
Formation energy from the elements ... 0.00 eV per atom

a b c (Å): 9.694 8.012 7.092
angles (deg): 90.00 124.47 90.00
Space group C2/m (No. 12)
Symmetry-distinct sites (fractional):
Zn  0.104  0.000  0.439 x4
Cd  0.045  0.500  0.266 x4
Cd  0.237  0.186  0.244 x8
Au  0.214  0.000  0.881 x4